[1]
Entry from the Alexandria database: an optimized crystal structure of CoTc2Au (PBE).

Lattice parameters (Å, degrees): 4.8642 4.8642 4.8642 134.69 134.69 66.02
Site moments in Bohr magnetons follow the coordinates.
Positions (direct):
Tc 0.5000 0.5000 0.0000  0.04
Tc 0.0000 0.0000 0.0000  0.04
Au 0.2500 0.7500 0.5000  0.05
Co 0.7500 0.2500 0.5000  1.23

Computed properties:
The offset from the most stable computed form comes out at 88.0 meV per atom. The value obtained for the uncorrected energy is -7.49 eV/atom. The value obtained for the density of states at the Fermi level is 1.002 states/eV/atom. Its formation energy is 0.29 eV/atom.

=====

[2]
Entry from the Alexandria database: an optimized crystal structure of TaCd2Os (PBE).

Lattice parameters (Å, degrees): 10.0535 10.0535 10.0535 16.54 16.54 16.54
Positions (direct):
Cd 0.5042 0.5042 0.5042
Cd 0.9958 0.9958 0.9958
Ta 0.7500 0.7500 0.7500
Os 0.2500 0.2500 0.2500

Computed properties:
The offset from the most stable computed form comes out at 409.1 meV per atom. The value obtained for the uncorrected energy is -5.70 eV/atom. The value obtained for the density of states at the Fermi level is 1.078 states/eV/atom. Its formation energy is 0.52 eV/atom.

=====

- Which of these has the highest offset from the most stable computed form?
  TaCd2Os

=====

- What is the uncorrected energy in the first record?
  -7.49 eV/atom